## KNpFe2O6 (GGA+U)

Data for a geometry-optimized KNpFe2O6 structure.

- VASP energy (hartree per atom) = -0.274
- calculated volume (Å³/atom) = 13.70

Lattice parameters (Å, degrees): 5.5206 5.5522 5.9542 63.10 87.97 60.23
Space group P1 (No. 1)
Symmetry-distinct sites (fractional):
K1 0.0000 0.0000 0.0000 (multiplicity 1)
Np1 0.4639 0.0653 0.4086 (multiplicity 1)
Fe1 0.2360 0.4904 0.7881 (multiplicity 1)
Fe2 0.7839 0.4334 0.3611 (multiplicity 1)
O1 0.0692 0.4602 0.1392 (multiplicity 1)
O2 0.1733 0.9542 0.5905 (multiplicity 1)
O3 0.4782 0.8969 0.1634 (multiplicity 1)
O4 0.5190 0.2823 0.6032 (multiplicity 1)
O5 0.6229 0.3135 0.1623 (multiplicity 1)
O6 0.8555 0.5982 0.5928 (multiplicity 1)

---

## KNpFe2O8 (GGA+U)

Data for a geometry-optimized KNpFe2O8 structure.

- VASP energy (hartree per atom) = -0.255
- DOS at the Fermi energy (states/eV/cell) = 2.75
- calculated volume (Å³/atom) = 18.33

Lattice parameters (Å, degrees): 5.7301 5.7301 7.7337 90.00 90.00 120.00
Space group P-3 (No. 147)
Symmetry-distinct sites (fractional):
K1 0.0000 0.0000 0.0000 (multiplicity 1)
Np1 0.0000 0.0000 0.5000 (multiplicity 1)
Fe1 0.3333 0.6667 0.7282 (multiplicity 2)
O1 0.0898 0.3162 0.6551 (multiplicity 6)
O2 0.3333 0.6667 0.9444 (multiplicity 2)

---

## KNp2FeO8 (GGA+U)

Data for a geometry-optimized KNp2FeO8 structure.

- VASP energy (hartree per atom) = -0.305
- DOS at the Fermi energy (states/eV/cell) = 5.61
- calculated volume (Å³/atom) = 14.54

Lattice parameters (Å, degrees): 7.2955 6.7654 7.0759 90.00 92.16 90.00
Space group C2/m (No. 12)
Symmetry-distinct sites (fractional):
K1 0.0000 0.0000 0.0000 (multiplicity 2)
Np1 0.0101 0.5000 0.2601 (multiplicity 4)
Fe1 0.0000 0.0000 0.5000 (multiplicity 2)
O1 0.0008 0.2095 0.7032 (multiplicity 8)
O2 0.1613 0.5000 0.9600 (multiplicity 4)
O3 0.1912 0.5000 0.4880 (multiplicity 4)

---

## K3NpFe2O9 (GGA+U)

Data for a geometry-optimized K3NpFe2O9 structure.

- VASP energy (hartree per atom) = -0.240
- DOS at the Fermi energy (states/eV/cell) = 6.89
- calculated volume (Å³/atom) = 13.25

Lattice parameters (Å, degrees): 5.7049 5.7049 7.0492 90.00 90.00 120.00
Space group P-3m1 (No. 164)
Symmetry-distinct sites (fractional):
K1 0.0000 0.0000 0.0000 (multiplicity 1)
K2 0.3333 0.6667 0.6753 (multiplicity 2)
Np1 0.0000 0.0000 0.5000 (multiplicity 1)
Fe1 0.3333 0.6667 0.1507 (multiplicity 2)
O1 0.0000 0.5000 0.0000 (multiplicity 3)
O2 0.1669 0.3339 0.3338 (multiplicity 6)

---

## K3NpFe2O8 (GGA+U)

Data for a geometry-optimized K3NpFe2O8 structure.

- VASP energy (hartree per atom) = -0.244
- DOS at the Fermi energy (states/eV/cell) = 7.70
- calculated volume (Å³/atom) = 16.96

Lattice parameters (Å, degrees): 5.9468 5.9468 7.7548 90.00 90.00 120.00
Space group P-3m1 (No. 164)
Symmetry-distinct sites (fractional):
K1 0.0000 0.0000 0.0000 (multiplicity 1)
K2 0.3333 0.6667 0.6895 (multiplicity 2)
Np1 0.0000 0.0000 0.5000 (multiplicity 1)
Fe1 0.3333 0.6667 0.2408 (multiplicity 2)
O1 0.1620 0.3239 0.3465 (multiplicity 6)
O2 0.3333 0.6667 0.0149 (multiplicity 2)

---

## K2NpFe2O6 (GGA+U)

Data for a geometry-optimized K2NpFe2O6 structure.

- VASP energy (hartree per atom) = -0.262
- calculated volume (Å³/atom) = 15.55

Lattice parameters (Å, degrees): 5.6597 9.6068 6.6878 90.00 109.79 90.00
Space group C2/m (No. 12)
Symmetry-distinct sites (fractional):
K1 0.0000 0.1758 0.0000 (multiplicity 4)
Np1 0.0000 0.0000 0.5000 (multiplicity 2)
Fe1 0.0000 0.3351 0.5000 (multiplicity 4)
O1 0.2162 0.1614 0.6779 (multiplicity 8)
O2 0.2455 0.5000 0.6700 (multiplicity 4)

---

## K2Np3FeO12 (GGA+U)

Data for a geometry-optimized K2Np3FeO12 structure.

- VASP energy (hartree per atom) = -0.306
- DOS at the Fermi energy (states/eV/cell) = 31.38
- calculated volume (Å³/atom) = 17.55

Lattice parameters (Å, degrees): 7.8506 7.8506 17.7528 90.00 90.00 120.00
Space group R-3m (No. 166, hexagonal axes)
Symmetry-distinct sites (fractional):
K1 0.0000 0.0000 0.1286 (multiplicity 6)
Np1 0.0000 0.5000 0.0000 (multiplicity 9)
Fe1 0.0000 0.0000 0.5000 (multiplicity 3)
O1 0.0748 0.5374 0.3605 (multiplicity 18)
O2 0.0863 0.5432 0.1040 (multiplicity 18)

---

Number 1: magnetization 8.000 Bohr magnetons per cell. Number 2: magnetization 8.000 Bohr magnetons per cell. Number 3: magnetization 14.008 Bohr magnetons per cell. Number 4: magnetization 9.650 Bohr magnetons per cell. Number 5: magnetization 9.999 Bohr magnetons per cell. Number 6: magnetization 14.000 Bohr magnetons per cell. Number 7: magnetization 21.000 Bohr magnetons per cell.